ThGa2Ni2Ir PBE relaxed; V = 19.64 Å³/atom; total magnetization = 0.00 μB per formula unit; SG = No. 123; electronic total energy = -5.78 eV per atom
1.0
4.702 0.000 0.000
0.000 4.702 0.000
0.000 0.000 5.330
Th Ga Ni Ir
1 2 2 1
direct
0.000 0.000 0.000
0.000 0.500 0.500
0.500 0.000 0.500
0.500 0.500 0.234
0.500 0.500 0.766
0.000 0.000 0.500

---

ThGaNiIr2 PBE relaxed; V = 17.89 Å³/atom; total magnetization = 0.00 μB per formula unit; SG = No. 44; electronic total energy = -7.27 eV per atom
1.0
-1.937 1.956 5.899
1.937 -1.956 5.899
1.937 1.956 -5.899
Th Ga Ni Ir
1 1 1 2
direct
0.000 0.000 0.000
0.244 0.744 0.500
0.610 0.610 0.000
0.399 0.399 0.000
0.744 0.244 0.500

---

Th2Ga4Ni3Ir PBE relaxed; V = 17.52 Å³/atom; total magnetization = 0.00 μB per formula unit; SG = No. 115; electronic total energy = -5.95 eV per atom
1.0
4.162 0.000 0.000
0.000 4.162 0.000
0.000 0.000 10.114
Th Ga Ni Ir
2 4 3 1
direct
0.000 0.500 0.248
0.500 0.000 0.752
0.000 0.000 0.000
0.000 0.500 0.634
0.500 0.000 0.366
0.500 0.500 0.000
0.000 0.500 0.869
0.500 0.000 0.131
0.500 0.500 0.500
0.000 0.000 0.500

---

Ti2GaNiIr PBE relaxed; V = 16.86 Å³/atom; total magnetization = 0.00 μB per formula unit; SG = No. 123; electronic total energy = -6.46 eV per atom
1.0
4.432 0.000 0.000
0.000 4.432 0.000
0.000 0.000 4.291
Ti Ga Ni Ir
2 1 1 1
direct
0.000 0.500 0.000
0.500 0.000 0.000
0.000 0.000 0.500
0.000 0.000 0.000
0.500 0.500 0.500

---

Ti2Ga2Ni7Ir PBE relaxed; V = 13.71 Å³/atom; total magnetization = 1.57 μB per formula unit; SG = No. 12; electronic total energy = -5.97 eV per atom
1.0
2.409 -2.409 0.000
2.409 2.409 0.000
-2.250 0.000 14.179
Ti Ga Ni Ir
2 2 7 1
direct
0.125 0.125 0.266
0.875 0.875 0.734
0.317 0.317 0.621
0.683 0.683 0.379
0.000 0.000 0.000
0.064 0.564 0.137
0.220 0.220 0.448
0.436 0.936 0.863
0.564 0.064 0.137
0.780 0.780 0.552
0.936 0.436 0.863
0.500 0.500 0.000

---

TmGa3NiIr PBE relaxed; V = 18.60 Å³/atom; total magnetization = 0.00 μB per formula unit; SG = No. 63; electronic total energy = -5.10 eV per atom
1.0
3.973 -5.244 0.000
3.973 5.244 0.000
0.000 0.000 5.356
Tm Ga Ni Ir
2 6 2 2
direct
0.200 0.800 0.750
0.800 0.200 0.250
0.251 0.251 0.000
0.251 0.251 0.500
0.323 0.677 0.250
0.677 0.323 0.750
0.749 0.749 0.000
0.749 0.749 0.500
0.454 0.546 0.750
0.546 0.454 0.250
0.089 0.911 0.250
0.911 0.089 0.750

---

TmGa4Ni2Ir PBE relaxed; V = 15.95 Å³/atom; total magnetization = 0.00 μB per formula unit; SG = No. 166; electronic total energy = -5.07 eV per atom
1.0
2.059 1.189 8.689
-2.059 1.189 8.689
0.000 -2.377 8.689
Tm Ga Ni Ir
1 4 2 1
direct
0.000 0.000 0.000
0.128 0.128 0.128
0.399 0.399 0.399
0.601 0.601 0.601
0.872 0.872 0.872
0.233 0.233 0.233
0.767 0.767 0.767
0.500 0.500 0.500

---

TmGa2Ni2Ir PBE relaxed; V = 19.00 Å³/atom; total magnetization = 0.00 μB per formula unit; SG = No. 123; electronic total energy = -5.21 eV per atom
1.0
4.671 0.000 0.000
0.000 4.671 0.000
0.000 0.000 5.226
Tm Ga Ni Ir
1 2 2 1
direct
0.000 0.000 0.000
0.000 0.500 0.500
0.500 0.000 0.500
0.500 0.500 0.242
0.500 0.500 0.758
0.000 0.000 0.500

---

Tm2Ga4NiIr3 PBE relaxed; V = 17.53 Å³/atom; total magnetization = 0.00 μB per formula unit; SG = No. 115; electronic total energy = -6.01 eV per atom
1.0
3.971 0.000 0.000
0.000 3.971 0.000
0.000 0.000 11.121
Tm Ga Ni Ir
2 4 1 3
direct
0.000 0.500 0.248
0.500 0.000 0.752
0.000 0.000 0.500
0.000 0.500 0.871
0.500 0.000 0.129
0.500 0.500 0.500
0.500 0.500 0.000
0.000 0.000 0.000
0.000 0.500 0.646
0.500 0.000 0.354

---

UGaNiIr PBE relaxed; V = 16.88 Å³/atom; total magnetization = 1.30 μB per formula unit; SG = No. 216; electronic total energy = -7.56 eV per atom
1.0
0.000 3.232 3.232
3.232 0.000 3.232
3.232 3.232 0.000
U Ga Ni Ir
1 1 1 1
direct
0.000 0.000 0.000
0.500 0.500 0.500
0.250 0.250 0.250
0.750 0.750 0.750

---

Y2Ga4NiIr3 PBE relaxed; V = 17.94 Å³/atom; total magnetization = 0.00 μB per formula unit; SG = No. 115; electronic total energy = -6.42 eV per atom
1.0
4.116 0.000 0.000
0.000 4.116 0.000
0.000 0.000 10.591
Y Ga Ni Ir
2 4 1 3
direct
0.000 0.500 0.244
0.500 0.000 0.756
0.000 0.000 0.500
0.000 0.500 0.874
0.500 0.000 0.126
0.500 0.500 0.500
0.500 0.500 0.000
0.000 0.000 0.000
0.000 0.500 0.641
0.500 0.000 0.359

---

YGa4Ni2Ir PBE relaxed; V = 16.21 Å³/atom; total magnetization = 0.00 μB per formula unit; SG = No. 166; electronic total energy = -5.34 eV per atom
1.0
2.061 1.190 8.808
-2.061 1.190 8.808
0.000 -2.380 8.808
Y Ga Ni Ir
1 4 2 1
direct
0.000 0.000 0.000
0.128 0.128 0.128
0.401 0.401 0.401
0.599 0.599 0.599
0.872 0.872 0.872
0.231 0.231 0.231
0.769 0.769 0.769
0.500 0.500 0.500

---

Repeat the sixth record exactly.
TmGa3NiIr PBE relaxed; V = 18.60 Å³/atom; total magnetization = 0.00 μB per formula unit; SG = No. 63; electronic total energy = -5.10 eV per atom
1.0
3.973 -5.244 0.000
3.973 5.244 0.000
0.000 0.000 5.356
Tm Ga Ni Ir
2 6 2 2
direct
0.200 0.800 0.750
0.800 0.200 0.250
0.251 0.251 0.000
0.251 0.251 0.500
0.323 0.677 0.250
0.677 0.323 0.750
0.749 0.749 0.000
0.749 0.749 0.500
0.454 0.546 0.750
0.546 0.454 0.250
0.089 0.911 0.250
0.911 0.089 0.750

---

Question: Among the records above, which one has the highest V?
Answer: ThGa2Ni2Ir

---

Question: Which value of electronic total energy does entry 7 give?
Answer: -5.07 eV per atom